(1)
The following is a GGA-PBE calculation of NiHgSe2 after structural relaxation, from Alexandria.

abc: 3.5562 3.5562 25.4540
angles: 90.00 90.00 120.00
Space group R3m (No. 160, hexagonal axes)
Unique sites:
Ni  0.0000  0.0000  0.0000 (multiplicity 3)
Hg  0.0000  0.0000  0.1686 (multiplicity 3)
Se  0.0000  0.0000  0.3819 (multiplicity 3)
Se  0.0000  0.0000  0.6181 (multiplicity 3)

Calculated values
ΔE_f (raw) = -0.74 eV/f.u.
Size of the total moment = 0.000 Bohr magnetons per cell
DOS(E_F) = 2.45 states/eV per cell
Total DFT energy (no corrections) = -3.449 eV/atom



(2)
The following is a GGA-PBE calculation of Sc4BiRh after structural relaxation, from Alexandria.

abc: 14.850 5.348 7.462
angles: 90.00 106.34 90.00
Space group C2/c (No. 15)
Unique sites:
Sc  0.077  0.152  0.444 (multiplicity 8)
Sc  0.189  0.342  0.146 (multiplicity 8)
Bi  0.000  0.354  0.750 (multiplicity 4)
Rh  0.250  0.250  0.500 (multiplicity 4)

Calculated values
Energy of formation from the pure elements = -0.44 eV per atom
Size of the total moment = 0.019 Bohr magnetons per cell
DOS(E_F) = 25.64 states/eV per cell
Total DFT energy (no corrections) = -6.536 eV/atom



(3)
The following is a GGA-PBE calculation of KFeGePb2 after structural relaxation, from Alexandria.

abc: 5.555 5.555 6.143
angles: 90.00 90.00 90.00
Space group P4/mmm (No. 123)
Unique sites:
K  0.000  0.000  0.000 (multiplicity 1)
Fe  0.500  0.500  0.000 (multiplicity 1)
Ge  0.000  0.000  0.500 (multiplicity 1)
Pb  0.000  0.500  0.500 (multiplicity 2)

Calculated values
Energy of formation from the pure elements = 0.98 eV per atom
Size of the total moment = 3.169 Bohr magnetons per cell
DOS(E_F) = 8.85 states/eV per cell
Total DFT energy (no corrections) = -3.338 eV/atom



(4)
The following is a GGA-PBE calculation of VWS2 after structural relaxation, from Alexandria.

abc: 5.405 5.405 10.402
angles: 90.00 90.00 90.00
Space group I-42d (No. 122)
Unique sites:
V  0.000  0.000  0.000 (multiplicity 4)
W  0.000  0.000  0.500 (multiplicity 4)
S  0.246  0.250  0.125 (multiplicity 8)

Calculated values
ΔE_f (raw) = -0.13 eV/f.u.
Size of the total moment = 5.168 Bohr magnetons per cell
DOS(E_F) = 13.81 states/eV per cell
Total DFT energy (no corrections) = -7.615 eV/atom



(5)
The following is a GGA-PBE calculation of CuRu2W after structural relaxation, from Alexandria.

abc: 2.7370 2.7370 26.5252
angles: 90.00 90.00 120.00
Space group R3m (No. 160, hexagonal axes)
Unique sites:
Cu  0.0000  0.0000  0.0000 (multiplicity 3)
Ru  0.0000  0.0000  0.2510 (multiplicity 3)
Ru  0.0000  0.0000  0.5035 (multiplicity 3)
W  0.0000  0.0000  0.7519 (multiplicity 3)

Calculated values
Energy of formation from the pure elements = 0.25 eV per atom
Size of the total moment = 0.000 Bohr magnetons per cell
DOS(E_F) = 12.69 states/eV per cell
Total DFT energy (no corrections) = -8.646 eV/atom



(6)
The following is a GGA-PBE calculation of PuThCd2 after structural relaxation, from Alexandria.

abc: 3.820 3.820 7.600
angles: 90.00 90.00 90.00
Space group P4/mmm (No. 123)
Unique sites:
Pu  0.000  0.000  0.000 (multiplicity 1)
Th  0.000  0.000  0.500 (multiplicity 1)
Cd  0.500  0.500  0.245 (multiplicity 2)

Calculated values
Energy of formation from the pure elements = 0.01 eV per atom
Size of the total moment = 6.335 Bohr magnetons per cell
DOS(E_F) = 8.95 states/eV per cell
Total DFT energy (no corrections) = -5.885 eV/atom



Question: Look up the total DFT energy (no corrections) of the second one.
Answer: -6.536 eV/atom



Question: DOS(E_F) of number 3 (KFeGePb2)?
Answer: 8.85 states/eV per cell



Question: Number 6 is which compound?
Answer: PuThCd2



Please write out number 2 again, unchanged.
The following is a GGA-PBE calculation of Sc4BiRh after structural relaxation, from Alexandria.

abc: 14.850 5.348 7.462
angles: 90.00 106.34 90.00
Space group C2/c (No. 15)
Unique sites:
Sc  0.077  0.152  0.444 (multiplicity 8)
Sc  0.189  0.342  0.146 (multiplicity 8)
Bi  0.000  0.354  0.750 (multiplicity 4)
Rh  0.250  0.250  0.500 (multiplicity 4)

Calculated values
Energy of formation from the pure elements = -0.44 eV per atom
Size of the total moment = 0.019 Bohr magnetons per cell
DOS(E_F) = 25.64 states/eV per cell
Total DFT energy (no corrections) = -6.536 eV/atom